The following is a GGA+U calculation of TcMoF2 after structural relaxation, from Alexandria via LeMat-Bulk.

Properties
Uncorrected energy, eV per atom: -5.53
Fermi-level density of states, states/eV/cell: 3.18
Crystal system: trigonal

a b c (Å): 8.406 8.406 8.406
angles (deg): 18.38 18.38 18.38
Sites, in units of the cell vectors:
Tc  0.000  0.000  0.000
Mo  0.500  0.500  0.500
F  0.417  0.417  0.417
F  0.583  0.583  0.583